{"formula": "ZrPd", "functional": "PBE-GGA", "state": "optimized geometry", "e_form_ev_per_atom": -0.545, "sg": "Pmmn (59)", "vol_a3_per_atom": 18.685, "lattice": [[5.070, 0.000, 0.000], [0.000, 12.368, 0.000], [0.000, 0.000, 4.767]], "species": ["Zr", "Pd", "Pd", "Zr", "Zr", "Zr", "Zr", "Pd", "Pd", "Pd", "Pd", "Pd", "Zr", "Zr", "Pd", "Zr"], "frac_coords": [[0.829, 0.594, 0.500], [0.331, 0.500, 0.500], [0.854, 0.131, 0.500], [0.987, 0.250, 0.000], [0.958, 0.750, 0.000], [0.504, 0.093, 0.000], [0.504, 0.407, 0.000], [0.854, 0.369, 0.500], [0.003, 0.000, 0.000], [0.479, 0.631, 0.000], [0.331, 0.000, 0.500], [0.003, 0.500, 0.000], [0.829, 0.906, 0.500], [0.346, 0.750, 0.500], [0.479, 0.869, 0.000], [0.375, 0.250, 0.500]]}

{"formula": "CsCuSiTe2Se", "functional": "PBE-GGA", "state": "optimized geometry", "energy_ev_per_cell": -42.829, "sg": "Cmcm (63)", "vol_a3_per_atom": 29.436, "lattice": [[1.921, -8.481, 0.000], [1.921, 8.481, 0.000], [0.000, 0.000, 10.839]], "species": ["Cu", "Se", "Te", "Si", "Cu", "Te", "Te", "Cs", "Se", "Si", "Te", "Cs"], "frac_coords": [[0.045, 0.955, 0.750], [0.542, 0.458, 0.250], [0.887, 0.113, 0.462], [0.500, 0.500, 0.500], [0.955, 0.045, 0.250], [0.887, 0.113, 0.038], [0.113, 0.887, 0.538], [0.235, 0.765, 0.250], [0.458, 0.542, 0.750], [0.500, 0.500, 0.000], [0.113, 0.887, 0.962], [0.765, 0.235, 0.750]]}

{"formula": "Dy2HoGa", "functional": "PBE-GGA", "state": "optimized geometry", "energy_ev_per_cell": -35.572, "sg": "Cmcm (63)", "vol_a3_per_atom": 25.870, "lattice": [[-0.627, -3.354, 5.867], [0.574, -3.410, -5.839], [5.173, -0.038, 0.531]], "species": ["Dy", "Ho", "Dy", "Ga", "Dy", "Ga", "Dy", "Ho"], "frac_coords": [[0.676, 0.851, 0.750], [0.677, 0.323, 0.750], [0.149, 0.324, 0.750], [0.167, 0.833, 0.750], [0.324, 0.149, 0.250], [0.833, 0.167, 0.250], [0.851, 0.676, 0.250], [0.323, 0.677, 0.250]]}

{"formula": "RbTmGeTe3", "functional": "PBE-GGA", "state": "optimized geometry", "energy_ev_per_cell": -48.956, "sg": "Cmcm (63)", "vol_a3_per_atom": 37.281, "lattice": [[6.984, 2.975, 3.637], [-7.635, -3.429, 0.894], [4.878, -10.967, -0.397]], "species": ["Rb", "Te", "Te", "Ge", "Te", "Ge", "Te", "Te", "Tm", "Rb", "Tm", "Te"], "frac_coords": [[0.248, 0.752, 0.250], [0.626, 0.374, 0.040], [0.937, 0.063, 0.250], [0.460, 0.540, 0.750], [0.374, 0.626, 0.540], [0.540, 0.460, 0.250], [0.063, 0.937, 0.750], [0.374, 0.626, 0.960], [0.000, 0.000, 0.500], [0.752, 0.248, 0.750], [0.000, 0.000, 0.000], [0.626, 0.374, 0.460]]}

{"formula": "Pr2AgPd5", "functional": "PBE-GGA", "state": "optimized geometry", "e_form_ev_per_atom": -0.689, "sg": "I4/mmm (139)", "vol_a3_per_atom": 18.971, "lattice": [[-2.816, -5.237, -0.045], [-2.456, 1.573, 5.182], [-0.656, 3.620, -4.671]], "species": ["Pr", "Pd", "Pd", "Ag", "Pd", "Pr", "Pd", "Pd"], "frac_coords": [[0.722, 0.222, 0.500], [0.222, 0.722, 0.000], [0.222, 0.222, 0.500], [0.222, 0.222, 0.000], [0.722, 0.222, 0.000], [0.222, 0.722, 0.500], [0.722, 0.722, 0.500], [0.722, 0.722, 0.000]]}

{"formula": "Pr2As2O5", "functional": "PBE-GGA", "state": "optimized geometry", "energy_ev_per_cell": -59.478, "sg": "P4/mmm (123)", "vol_a3_per_atom": 13.540, "lattice": [[-1.467, 0.336, -6.915], [1.825, -3.683, -0.566], [-3.626, -1.901, 0.677]], "species": ["As", "Pr", "As", "O", "O", "O", "O", "O", "Pr"], "frac_coords": [[0.215, 0.500, 0.500], [0.500, 0.000, 0.000], [0.785, 0.500, 0.500], [0.761, 0.500, 0.000], [0.761, 0.000, 0.500], [0.239, 0.000, 0.500], [0.500, 0.500, 0.500], [0.239, 0.500, 0.000], [0.000, 0.000, 0.000]]}

{"formula": "TmZnSn", "functional": "PBE-GGA", "state": "optimized geometry", "energy_ev_per_cell": -10.800, "sg": "F-43m (216)", "vol_a3_per_atom": 23.414, "lattice": [[0.000, 3.275, 3.275], [3.275, 0.000, 3.275], [3.275, 3.275, 0.000]], "species": ["Tm", "Zn", "Sn"], "frac_coords": [[0.750, 0.750, 0.750], [0.000, 0.000, 0.000], [0.250, 0.250, 0.250]]}

{"formula": "Ho3Ga5O12", "functional": "PBE-GGA", "state": "optimized geometry", "energy_ev_per_cell": -558.004, "sg": "Ia-3d (230)", "vol_a3_per_atom": 11.549, "lattice": [[5.031, -7.653, -5.390], [2.564, -0.645, 10.293], [-10.500, -1.197, -1.117]], "species": ["Ho", "O", "O", "Ga", "O", "O", "O", "Ga", "O", "O", "O", "O", "O", "Ga", "O", "O", "O", "O", "Ho", "O", "O", "O", "O", "Ga", "O", "O", "Ga", "Ga", "O", "O", "O", "O", "Ga", "O", "Ga", "Ga", "O", "Ga", "O", "O", "O", "Ho", "O", "Ga", "O", "O", "O", "O", "Ho", "O", "Ho", "O", "Ga", "Ho", "Ga", "Ga", "Ho", "Ho", "Ho", "O", "Ho", "O", "Ga", "O", "O", "O", "Ga", "O", "O", "Ga", "O", "O", "Ho", "O", "Ga", "Ga", "Ho", "Ga", "O", "O"], "frac_coords": [[0.375, 0.125, 0.250], [0.093, 0.623, 0.416], [0.916, 0.123, 0.593], [0.125, 0.875, 0.250], [0.177, 0.470, 0.593], [0.093, 0.970, 0.677], [0.677, 0.084, 0.707], [0.500, 0.000, 0.000], [0.293, 0.323, 0.916], [0.707, 0.530, 0.623], [0.030, 0.323, 0.907], [0.123, 0.593, 0.916], [0.823, 0.530, 0.407], [0.125, 0.750, 0.875], [0.593, 0.916, 0.123], [0.877, 0.407, 0.084], [0.470, 0.377, 0.293], [0.907, 0.377, 0.584], [0.750, 0.125, 0.375], [0.623, 0.416, 0.093], [0.377, 0.293, 0.470], [0.530, 0.623, 0.707], [0.030, 0.207, 0.123], [0.000, 0.000, 0.500], [0.970, 0.677, 0.093], [0.823, 0.793, 0.416], [0.000, 0.500, 0.500], [0.500, 0.500, 0.500], [0.470, 0.593, 0.177], [0.793, 0.877, 0.970], [0.207, 0.123, 0.030], [0.584, 0.177, 0.207], [0.500, 0.500, 0.000], [0.084, 0.707, 0.677], [0.625, 0.750, 0.375], [0.375, 0.250, 0.625], [0.323, 0.916, 0.293], [0.750, 0.375, 0.625], [0.907, 0.030, 0.323], [0.377, 0.584, 0.907], [0.084, 0.877, 0.407], [0.625, 0.875, 0.750], [0.970, 0.793, 0.877], [0.000, 0.000, 0.000], [0.416, 0.823, 0.793], [0.623, 0.707, 0.530], [0.707, 0.677, 0.084], [0.530, 0.407, 0.823], [0.125, 0.375, 0.750], [0.407, 0.084, 0.877], [0.125, 0.250, 0.375], [0.416, 0.093, 0.623], [0.500, 0.000, 0.500], [0.875, 0.750, 0.625], [0.875, 0.250, 0.125], [0.875, 0.125, 0.750], [0.625, 0.250, 0.875], [0.875, 0.625, 0.250], [0.250, 0.875, 0.625], [0.407, 0.823, 0.530], [0.250, 0.375, 0.125], [0.123, 0.030, 0.207], [0.625, 0.375, 0.250], [0.293, 0.470, 0.377], [0.793, 0.416, 0.823], [0.207, 0.584, 0.177], [0.250, 0.125, 0.875], [0.323, 0.907, 0.030], [0.593, 0.177, 0.470], [0.750, 0.875, 0.125], [0.916, 0.293, 0.323], [0.584, 0.907, 0.377], [0.375, 0.750, 0.125], [0.177, 0.207, 0.584], [0.375, 0.625, 0.750], [0.000, 0.500, 0.000], [0.750, 0.625, 0.875], [0.250, 0.625, 0.375], [0.877, 0.970, 0.793], [0.677, 0.093, 0.970]]}

{"formula": "BaDyY", "functional": "PBE-GGA", "state": "optimized geometry", "energy_ev_per_cell": -10.456, "sg": "F-43m (216)", "vol_a3_per_atom": 46.524, "lattice": [[0.000, 4.117, 4.117], [4.117, 0.000, 4.117], [4.117, 4.117, 0.000]], "species": ["Dy", "Y", "Ba"], "frac_coords": [[0.750, 0.750, 0.750], [0.000, 0.000, 0.000], [0.250, 0.250, 0.250]]}

{"formula": "TmInNiTe3", "functional": "PBE-GGA", "state": "optimized geometry", "energy_ev_per_cell": -103.451, "sg": "Pnma (62)", "vol_a3_per_atom": 26.601, "lattice": [[-3.148, -1.902, 12.142], [2.464, -3.247, 0.130], [9.345, 7.233, 3.556]], "species": ["Tm", "Te", "In", "Te", "In", "Tm", "Te", "Te", "Te", "Te", "Te", "In", "Ni", "Te", "Te", "Ni", "Te", "Tm", "Ni", "Te", "Tm", "Ni", "Te", "In"], "frac_coords": [[0.973, 0.250, 0.691], [0.102, 0.750, 0.556], [0.193, 0.750, 0.004], [0.019, 0.250, 0.134], [0.307, 0.250, 0.504], [0.027, 0.750, 0.309], [0.481, 0.750, 0.634], [0.898, 0.250, 0.444], [0.267, 0.750, 0.281], [0.398, 0.250, 0.056], [0.767, 0.750, 0.219], [0.807, 0.250, 0.996], [0.281, 0.750, 0.651], [0.981, 0.750, 0.866], [0.519, 0.250, 0.366], [0.719, 0.250, 0.349], [0.233, 0.250, 0.781], [0.527, 0.750, 0.191], [0.781, 0.750, 0.849], [0.602, 0.750, 0.944], [0.473, 0.250, 0.809], [0.219, 0.250, 0.151], [0.733, 0.250, 0.719], [0.693, 0.750, 0.496]]}

{"formula": "GeSbW", "functional": "PBE-GGA", "state": "optimized geometry", "energy_ev_per_cell": -19.542, "sg": "F-43m (216)", "vol_a3_per_atom": 21.964, "lattice": [[0.000, 3.206, 3.206], [3.206, 0.000, 3.206], [3.206, 3.206, 0.000]], "species": ["Sb", "W", "Ge"], "frac_coords": [[0.750, 0.750, 0.750], [0.000, 0.000, 0.000], [0.250, 0.250, 0.250]]}

{"formula": "Pm12InNi6", "functional": "PBE-GGA", "state": "optimized geometry", "energy_ev_per_cell": -98.823, "sg": "Im-3 (204)", "vol_a3_per_atom": 26.106, "lattice": [[4.450, -5.304, -5.164], [4.323, 1.117, 7.393], [-7.740, -3.444, 1.683]], "species": ["Pm", "Ni", "Pm", "Pm", "Pm", "Ni", "Ni", "In", "Pm", "Pm", "Pm", "Pm", "Ni", "Pm", "Ni", "Pm", "Pm", "Ni", "Pm"], "frac_coords": [[0.508, 0.694, 0.814], [0.879, 0.500, 0.379], [0.306, 0.814, 0.120], [0.120, 0.306, 0.814], [0.492, 0.306, 0.186], [0.121, 0.500, 0.621], [0.500, 0.621, 0.121], [0.000, 0.000, 0.000], [0.694, 0.186, 0.880], [0.814, 0.508, 0.694], [0.306, 0.186, 0.492], [0.694, 0.814, 0.508], [0.621, 0.121, 0.500], [0.186, 0.492, 0.306], [0.500, 0.379, 0.879], [0.880, 0.694, 0.186], [0.186, 0.880, 0.694], [0.379, 0.879, 0.500], [0.814, 0.120, 0.306]]}